# BaHfNF2

A relaxed structure of BaHfNF2 (PBE-GGA, Alexandria via LeMat-Bulk).

a b c (Å): 4.4133 4.4133 4.2495
angles (deg): 90.00 90.00 90.00
Closest atoms and distances in Å follow each position.
Positions (direct):
Ba 0.0000 0.0000 0.0000  8 F 3.06, 4 N 3.12
Hf 0.5000 0.5000 0.5000  2 N 2.12, 4 F 2.21
N 0.5000 0.5000 0.0000  2 Hf 2.12
F 0.0000 0.5000 0.5000  2 Hf 2.21
F 0.5000 0.0000 0.5000  2 Hf 2.21

## Properties
For the uncorrected formation energy, the calculation gives -2.227 eV/atom. Its density of states at the Fermi level is 2.2 states/eV/cell.

---

# Cu2HPt

A relaxed structure of Cu2HPt (PBE-GGA, Alexandria via LeMat-Bulk).

a b c (Å): 2.7359 2.7359 19.6433
angles (deg): 90.00 90.00 120.00
Closest atoms and distances in Å follow each position.
Positions (direct):
Cu 0.0000 0.0000 0.2214  3 H 1.91
Cu 0.0000 0.0000 0.7786  3 H 1.91
Cu 0.3333 0.6667 0.4453  3 H 1.91
Cu 0.3333 0.6667 0.8880  3 H 1.91
Cu 0.6667 0.3333 0.1120  3 H 1.91
Cu 0.6667 0.3333 0.5547  3 H 1.91
H 0.0000 0.0000 0.5000  6 Cu 1.91
H 0.3333 0.6667 0.1667  6 Cu 1.91
H 0.6667 0.3333 0.8333  6 Cu 1.91
Pt 0.0000 0.0000 0.0000  6 Cu 2.71, 6 Pt 2.74
Pt 0.3333 0.6667 0.6667  6 Cu 2.71, 6 Pt 2.74
Pt 0.6667 0.3333 0.3333  6 Cu 2.71, 6 Pt 2.74

## Properties
For the total energy, the calculation gives -4.41 eV per atom. Its density of states at the Fermi level is 3.4 states/eV/cell.

---

# YCd7Ag5

A relaxed structure of YCd7Ag5 (PBE-GGA, Alexandria via LeMat-Bulk).

a b c (Å): 7.5206 7.5206 7.5206
angles (deg): 136.03 97.57 98.55
Closest atoms and distances in Å follow each position.
Positions (direct):
Y 0.0000 0.0000 0.0000  10 Cd 3.33-3.57, 6 Ag 3.48-3.70
Cd 0.2072 0.5060 0.7012  5 Ag 2.85-2.90, 3 Cd 2.92-3.15
Cd 0.2239 0.7239 0.5000  4 Ag 2.88, 6 Cd 2.92-3.22
Cd 0.3489 0.3489 0.0000  4 Ag 3.00, 5 Cd 3.06-3.34
Cd 0.3556 0.0113 0.3443  5 Ag 2.95-3.15, 4 Cd 3.09-3.22
Cd 0.6604 0.6604 0.0000  6 Ag 3.00-3.09, 3 Cd 3.06-3.33, 1 Y 3.33
Cd 0.6670 0.0113 0.6557  5 Ag 2.95-3.15, 4 Cd 3.09-3.22
Cd 0.8049 0.5060 0.2988  5 Ag 2.85-2.90, 3 Cd 2.92-3.15
Ag 0.0072 0.0075 0.4981  3 Ag 2.81-2.86, 7 Cd 2.85-3.00
Ag 0.0072 0.5091 0.9997  3 Ag 2.81-2.86, 7 Cd 2.85-3.00
Ag 0.5094 0.0075 0.0003  3 Ag 2.81-2.86, 7 Cd 2.85-3.00
Ag 0.5094 0.5091 0.5019  3 Ag 2.81-2.86, 7 Cd 2.85-3.00
Ag 0.7910 0.2910 0.5000  4 Ag 2.86, 6 Cd 2.90-3.15

## Properties
Its density of states at the Fermi level is 6.8 states/eV/cell. The calculation puts the energy of formation from the pure elements at -0.114 eV per atom.

---

# CaFe2Pt

A relaxed structure of CaFe2Pt (PBE-GGA, Alexandria via LeMat-Bulk).

a b c (Å): 5.3829 8.5692 2.7942
angles (deg): 90.00 90.00 90.00
Closest atoms and distances in Å follow each position.
Positions (direct):
Ca 0.0000 0.0000 0.0000  2 Pt 2.69, 2 Ca 2.79, 8 Fe 2.89
Ca 0.5000 0.5000 0.0000  2 Pt 2.69, 2 Ca 2.79, 8 Fe 2.89
Fe 0.2500 0.2500 0.5000  4 Fe 2.69-2.79, 4 Ca 2.89, 4 Pt 2.89
Fe 0.2500 0.7500 0.5000  4 Fe 2.69-2.79, 4 Ca 2.89, 4 Pt 2.89
Fe 0.7500 0.2500 0.5000  4 Fe 2.69-2.79, 4 Ca 2.89, 4 Pt 2.89
Fe 0.7500 0.7500 0.5000  4 Fe 2.69-2.79, 4 Ca 2.89, 4 Pt 2.89
Pt 0.0000 0.5000 0.0000  2 Ca 2.69, 2 Pt 2.79, 8 Fe 2.89
Pt 0.5000 0.0000 0.0000  2 Ca 2.69, 2 Pt 2.79, 8 Fe 2.89

## Properties
Its density of states at the Fermi level is 9.9 states/eV/cell. The calculation puts the energy of formation from the pure elements at 0.264 eV per atom.

---

Q: Number 4 is which compound?
A: CaFe2Pt